No. 1
PrNd2GdZn12Ge6 | PBE-GGA | relaxed

Summary:
Volume (Å³/atom): 18.9
Total magnetic moment (μB per formula unit): 0.0
Total energy (eV/atom): -3.227

Unit cell a=7.652 b=4.097 c=13.256 alpha=90.00 beta=90.00 gamma=90.00
Fractional positions:
Pr (0.000, 0.000, 0.000)
Nd (0.500, 0.000, 0.500)
Nd (0.500, 0.000, 0.833)
Gd (0.000, 0.000, 0.333)
Zn (0.094, 0.000, 0.572)
Zn (0.094, 0.000, 0.761)
Zn (0.290, 0.500, 0.667)
Zn (0.311, 0.000, 0.167)
Zn (0.355, 0.500, 0.022)
Zn (0.355, 0.500, 0.312)
Zn (0.594, 0.000, 0.072)
Zn (0.595, 0.000, 0.261)
Zn (0.790, 0.500, 0.167)
Zn (0.811, 0.000, 0.667)
Zn (0.855, 0.500, 0.522)
Zn (0.855, 0.500, 0.811)
Ge (0.119, 0.500, 0.167)
Ge (0.190, 0.500, 0.476)
Ge (0.191, 0.500, 0.857)
Ge (0.619, 0.500, 0.667)
Ge (0.690, 0.500, 0.976)
Ge (0.692, 0.500, 0.357)

***

No. 2
NdGdZn6Ge3 | PBE-GGA | relaxed

Summary:
Volume (Å³/atom): 18.7
Total magnetic moment (μB per formula unit): 0.0
Total energy (eV/atom): -3.214

Unit cell a=7.631 b=7.631 c=4.075 alpha=90.00 beta=90.00 gamma=120.00
Fractional positions:
Nd (0.000, 0.000, 0.000)
Gd (0.667, 0.333, 0.000)
Zn (0.045, 0.666, 0.500)
Zn (0.144, 0.477, 0.000)
Zn (0.334, 0.378, 0.500)
Zn (0.334, 0.856, 0.000)
Zn (0.523, 0.666, 0.000)
Zn (0.622, 0.955, 0.500)
Ge (0.335, 0.051, 0.500)
Ge (0.716, 0.665, 0.500)
Ge (0.949, 0.284, 0.500)

***

No. 3
NdGdZn6Ge3 | PBE-GGA | relaxed

Summary:
Volume (Å³/atom): 18.7
Total magnetic moment (μB per formula unit): 0.0
Total energy (eV/atom): -3.214

Unit cell a=4.068 b=13.225 c=7.636 alpha=90.00 beta=90.00 gamma=90.00
Fractional positions:
Nd (0.000, 0.084, 0.000)
Nd (0.000, 0.916, 0.500)
Gd (0.000, 0.417, 0.000)
Gd (0.000, 0.583, 0.500)
Zn (0.000, 0.156, 0.406)
Zn (0.000, 0.252, 0.690)
Zn (0.000, 0.346, 0.404)
Zn (0.000, 0.654, 0.904)
Zn (0.000, 0.748, 0.190)
Zn (0.000, 0.844, 0.906)
Zn (0.500, 0.107, 0.644)
Zn (0.500, 0.251, 0.214)
Zn (0.500, 0.394, 0.642)
Zn (0.500, 0.606, 0.142)
Zn (0.500, 0.749, 0.714)
Zn (0.500, 0.893, 0.144)
Ge (0.500, 0.058, 0.308)
Ge (0.500, 0.253, 0.886)
Ge (0.500, 0.444, 0.306)
Ge (0.500, 0.556, 0.806)
Ge (0.500, 0.747, 0.386)
Ge (0.500, 0.942, 0.808)

***

No. 4
NdGdZn6Ge3 | PBE-GGA | relaxed

Summary:
Volume (Å³/atom): 18.7
Total magnetic moment (μB per formula unit): 0.0
Total energy (eV/atom): -3.214

Unit cell a=4.070 b=13.236 c=7.639 alpha=90.00 beta=90.00 gamma=90.00
Fractional positions:
Nd (0.000, 0.167, 0.000)
Nd (0.000, 0.833, 0.000)
Gd (0.000, 0.334, 0.499)
Gd (0.000, 0.666, 0.499)
Zn (0.000, 0.000, 0.310)
Zn (0.000, 0.095, 0.593)
Zn (0.000, 0.405, 0.096)
Zn (0.000, 0.500, 0.809)
Zn (0.000, 0.595, 0.096)
Zn (0.000, 0.905, 0.593)
Zn (0.500, 0.000, 0.787)
Zn (0.500, 0.144, 0.357)
Zn (0.500, 0.356, 0.855)
Zn (0.500, 0.500, 0.288)
Zn (0.500, 0.644, 0.855)
Zn (0.500, 0.856, 0.357)
Ge (0.500, 0.000, 0.116)
Ge (0.500, 0.193, 0.689)
Ge (0.500, 0.309, 0.195)
Ge (0.500, 0.500, 0.614)
Ge (0.500, 0.691, 0.195)
Ge (0.500, 0.807, 0.689)

***

No. 5
NdGdZn2Ge2 | PBE-GGA | relaxed

Summary:
Energy above the lowest structure with this stoichiometry (meV per atom): 0
Volume (Å³/atom): 21.3
Total magnetic moment (μB per formula unit): 0.0

Unit cell a=4.272 b=4.272 c=16.200 alpha=90.00 beta=90.00 gamma=120.00
Fractional positions:
Nd (0.000, 0.000, 0.000)
Nd (0.000, 0.000, 0.500)
Gd (0.000, 0.000, 0.250)
Gd (0.000, 0.000, 0.750)
Zn (0.333, 0.667, 0.148)
Zn (0.333, 0.667, 0.352)
Zn (0.667, 0.333, 0.648)
Zn (0.667, 0.333, 0.852)
Ge (0.333, 0.667, 0.619)
Ge (0.333, 0.667, 0.881)
Ge (0.667, 0.333, 0.119)
Ge (0.667, 0.333, 0.381)

***

No. 6
Gd2NiGe6 | PBE-GGA | relaxed

Summary:
Volume (Å³/atom): 19.6
Total magnetic moment (μB per formula unit): 0.0
Total energy (eV/atom): -5.268

Unit cell a=4.081 b=10.942 c=10.942 alpha=21.13 beta=90.00 gamma=90.00
Fractional positions:
Gd (0.000, 0.000, 0.000)
Gd (0.000, 0.336, 0.336)
Ni (0.500, 0.778, 0.778)
Ge (0.000, 0.605, 0.605)
Ge (0.000, 0.721, 0.721)
Ge (0.500, 0.104, 0.104)
Ge (0.500, 0.220, 0.220)
Ge (0.500, 0.459, 0.459)
Ge (0.500, 0.885, 0.885)

***

No. 7
Gd6NiGe2 | PBE-GGA | relaxed

Summary:
Volume (Å³/atom): 25.2
Total magnetic moment (μB per formula unit): 0.2
Total energy (eV/atom): -5.237

Unit cell a=7.973 b=7.973 c=4.121 alpha=90.00 beta=90.00 gamma=120.00
Fractional positions:
Gd (0.000, 0.248, 0.000)
Gd (0.000, 0.586, 0.500)
Gd (0.248, 0.000, 0.000)
Gd (0.414, 0.414, 0.500)
Gd (0.586, 0.000, 0.500)
Gd (0.752, 0.752, 0.000)
Ni (0.000, 0.000, 0.500)
Ge (0.333, 0.667, 0.000)
Ge (0.667, 0.333, 0.000)

***

No. 8
GdNi2Ge | PBE-GGA | relaxed

Summary:
Energy above the lowest structure with this stoichiometry (meV per atom): 44
Volume (Å³/atom): 16.5
Total magnetic moment (μB per formula unit): 0.0

Unit cell a=4.060 b=5.903 c=5.508 alpha=90.00 beta=90.00 gamma=90.00
Fractional positions:
Gd (0.000, 0.096, 0.000)
Gd (0.500, 0.904, 0.500)
Ni (0.000, 0.288, 0.490)
Ni (0.000, 0.638, 0.744)
Ni (0.500, 0.362, 0.244)
Ni (0.500, 0.712, 0.990)
Ge (0.000, 0.615, 0.214)
Ge (0.500, 0.385, 0.714)

***

No. 9
GdNi2Ge | PBE-GGA | relaxed

Summary:
Energy above the lowest structure with this stoichiometry (meV per atom): 0
Volume (Å³/atom): 17.0
Total magnetic moment (μB per formula unit): 0.0

Unit cell a=5.247 b=4.097 c=6.645 alpha=90.00 beta=107.72 gamma=90.00
Fractional positions:
Gd (0.249, 0.250, 0.249)
Gd (0.751, 0.750, 0.751)
Ni (0.154, 0.750, 0.547)
Ni (0.347, 0.750, 0.951)
Ni (0.653, 0.250, 0.049)
Ni (0.846, 0.250, 0.453)
Ge (0.254, 0.250, 0.747)
Ge (0.746, 0.750, 0.253)

***

No. 10
GdNi2Ge | PBE-GGA | relaxed

Summary:
Energy above the lowest structure with this stoichiometry (meV per atom): 137
Volume (Å³/atom): 17.2
Total magnetic moment (μB per formula unit): 0.0

Unit cell a=4.302 b=4.483 c=7.150 alpha=90.00 beta=90.00 gamma=90.00
Fractional positions:
Gd (0.000, 0.075, 0.000)
Gd (0.000, 0.925, 0.500)
Ni (0.000, 0.496, 0.252)
Ni (0.000, 0.504, 0.752)
Ni (0.500, 0.230, 0.322)
Ni (0.500, 0.770, 0.822)
Ge (0.500, 0.290, 0.676)
Ge (0.500, 0.710, 0.176)

***

No. 11
GdSc2Ni4Ge4 | PBE-GGA | relaxed

Summary:
Volume (Å³/atom): 15.8
Total magnetic moment (μB per formula unit): 0.0
Total energy (eV/atom): -6.043

Unit cell a=7.610 b=7.610 c=7.610 alpha=149.97 beta=127.35 gamma=61.81
Fractional positions:
Gd (0.000, 0.000, 0.000)
Sc (0.373, 0.873, 0.500)
Sc (0.627, 0.127, 0.500)
Ni (0.018, 0.322, 0.696)
Ni (0.375, 0.678, 0.696)
Ni (0.625, 0.322, 0.304)
Ni (0.982, 0.678, 0.304)
Ge (0.223, 0.223, 0.000)
Ge (0.313, 0.500, 0.813)
Ge (0.687, 0.500, 0.187)
Ge (0.777, 0.777, 0.000)

***

No. 12
GdSiNiGe | PBE-GGA | relaxed

Summary:
Volume (Å³/atom): 17.3
Total magnetic moment (μB per formula unit): 0.0
Total energy (eV/atom): -5.882

Unit cell a=8.606 b=8.606 c=4.083 alpha=90.00 beta=90.00 gamma=152.71
Fractional positions:
Gd (0.110, 0.890, 0.750)
Gd (0.890, 0.110, 0.250)
Si (0.251, 0.749, 0.250)
Si (0.749, 0.251, 0.750)
Ni (0.317, 0.683, 0.750)
Ni (0.683, 0.317, 0.250)
Ge (0.456, 0.544, 0.750)
Ge (0.544, 0.456, 0.250)

***

No. 13
SmGd2Ni4Ge4 | PBE-GGA | relaxed

Summary:
Volume (Å³/atom): 18.0
Total magnetic moment (μB per formula unit): 0.0
Total energy (eV/atom): -5.720

Unit cell a=12.213 b=12.213 c=12.213 alpha=161.00 beta=160.47 gamma=27.38
Fractional positions:
Sm (0.000, 0.000, 0.000)
Gd (0.350, 0.850, 0.500)
Gd (0.650, 0.150, 0.500)
Ni (0.099, 0.599, 0.500)
Ni (0.250, 0.250, 0.000)
Ni (0.750, 0.750, 0.000)
Ni (0.901, 0.401, 0.500)
Ge (0.197, 0.697, 0.500)
Ge (0.447, 0.447, 0.000)
Ge (0.553, 0.553, 0.000)
Ge (0.803, 0.303, 0.500)

***

No. 14
SmGdNi2Ge | PBE-GGA | relaxed

Summary:
Volume (Å³/atom): 19.8
Total magnetic moment (μB per formula unit): 0.0
Total energy (eV/atom): -5.583

Unit cell a=3.678 b=6.994 c=6.994 alpha=33.36 beta=90.00 gamma=90.00
Fractional positions:
Sm (0.000, 0.000, 0.000)
Gd (0.000, 0.257, 0.257)
Ni (0.500, 0.432, 0.432)
Ni (0.500, 0.823, 0.823)
Ge (0.500, 0.630, 0.630)

***

No. 15
Gd4TlNi2Ge4 | PBE-GGA | relaxed

Summary:
Volume (Å³/atom): 20.7
Total magnetic moment (μB per formula unit): 0.0
Total energy (eV/atom): -5.347

Unit cell a=8.162 b=8.162 c=7.159 alpha=107.99 beta=107.99 gamma=30.33
Fractional positions:
Gd (0.092, 0.092, 0.390)
Gd (0.155, 0.155, 0.938)
Gd (0.845, 0.845, 0.062)
Gd (0.908, 0.908, 0.610)
Tl (0.500, 0.500, 0.000)
Ni (0.284, 0.284, 0.356)
Ni (0.716, 0.716, 0.644)
Ge (0.292, 0.292, 0.719)
Ge (0.434, 0.434, 0.342)
Ge (0.566, 0.566, 0.658)
Ge (0.708, 0.708, 0.281)

***

No. 16
GdYNi2Ge4 | PBE-GGA | relaxed

Summary:
Volume (Å³/atom): 18.1
Total magnetic moment (μB per formula unit): 0.0
Total energy (eV/atom): -5.811

Unit cell a=4.200 b=8.602 c=8.602 alpha=27.80 beta=90.00 gamma=90.00
Fractional positions:
Gd (0.000, 0.000, 0.000)
Y (0.500, 0.784, 0.784)
Ni (0.000, 0.213, 0.213)
Ni (0.500, 0.572, 0.572)
Ge (0.000, 0.351, 0.351)
Ge (0.000, 0.641, 0.641)
Ge (0.500, 0.143, 0.143)
Ge (0.500, 0.433, 0.433)

***

No. 17
GdYNi2Ge | PBE-GGA | relaxed

Summary:
Volume (Å³/atom): 19.2
Total magnetic moment (μB per formula unit): 0.0
Total energy (eV/atom): -5.962

Unit cell a=3.642 b=6.944 c=6.944 alpha=33.16 beta=90.00 gamma=90.00
Fractional positions:
Gd (0.000, 0.000, 0.000)
Y (0.000, 0.257, 0.257)
Ni (0.500, 0.434, 0.434)
Ni (0.500, 0.824, 0.824)
Ge (0.500, 0.630, 0.630)

***

No. 18
GdY2Ni4Ge4 | PBE-GGA | relaxed

Summary:
Volume (Å³/atom): 17.1
Total magnetic moment (μB per formula unit): 0.0
Total energy (eV/atom): -6.041

Unit cell a=7.854 b=7.854 c=7.854 alpha=149.70 beta=129.18 gamma=60.32
Fractional positions:
Gd (0.000, 0.000, 0.000)
Y (0.371, 0.871, 0.500)
Y (0.629, 0.129, 0.500)
Ni (0.017, 0.322, 0.695)
Ni (0.373, 0.678, 0.695)
Ni (0.627, 0.322, 0.305)
Ni (0.983, 0.678, 0.305)
Ge (0.218, 0.218, 0.000)
Ge (0.306, 0.500, 0.806)
Ge (0.694, 0.500, 0.194)
Ge (0.782, 0.782, 0.000)

***

No. 19
Gd3GeO | PBE-GGA | relaxed

Summary:
Volume (Å³/atom): 21.0
Total magnetic moment (μB per formula unit): 0.0
Total energy (eV/atom): -6.106

Unit cell a=4.720 b=4.720 c=4.720 alpha=90.00 beta=90.00 gamma=90.00
Fractional positions:
Gd (0.000, 0.000, 0.500)
Gd (0.000, 0.500, 0.000)
Gd (0.500, 0.000, 0.000)
Ge (0.500, 0.500, 0.500)
O (0.000, 0.000, 0.000)

***

No. 20
GdGe2O4 | PBE-GGA | relaxed

Summary:
Volume (Å³/atom): 14.4
Total magnetic moment (μB per formula unit): 0.0
Total energy (eV/atom): -6.449

Unit cell a=6.580 b=6.580 c=6.580 alpha=60.00 beta=60.00 gamma=60.00
Fractional positions:
Gd (0.125, 0.125, 0.125)
Gd (0.875, 0.875, 0.875)
Ge (0.000, 0.500, 0.500)
Ge (0.500, 0.000, 0.500)
Ge (0.500, 0.500, 0.000)
Ge (0.500, 0.500, 0.500)
O (0.260, 0.260, 0.260)
O (0.260, 0.260, 0.719)
O (0.260, 0.719, 0.260)
O (0.281, 0.740, 0.740)
O (0.719, 0.260, 0.260)
O (0.740, 0.281, 0.740)
O (0.740, 0.740, 0.281)
O (0.740, 0.740, 0.740)